NbCrO4 | PBE+U | relaxed

Output
M_tot: 0.500 μB/atom
total energy: -205.035 eV/cell

Cell and atoms, written as POSCAR:
```
NbCrO4
1.0
-3.9418 0.4545 2.5740
1.6158 -4.3765 3.2482
4.7889 6.3757 6.2082
O Nb Cr
16 4 4
direct
0.7152 0.2304 0.5866
0.7766 0.9598 0.8332
0.7850 0.7304 0.5866
0.7237 0.4598 0.8333
0.7763 0.0402 0.3333
0.2234 0.0402 0.1668
0.2150 0.2696 0.4134
0.2152 0.7304 0.9134
0.2237 0.9598 0.6667
0.7150 0.7696 0.0866
0.7848 0.2696 0.0866
0.2763 0.5402 0.1667
0.2848 0.7696 0.4134
0.2766 0.4598 0.6668
0.7234 0.5402 0.3332
0.2850 0.2304 0.9134
0.0000 0.3457 0.2500
0.5000 0.1543 0.7500
0.0000 0.6543 0.7500
0.5000 0.8457 0.2500
0.0000 0.0000 0.0000
0.5000 0.5000 0.0000
0.5000 0.5000 0.5000
0.0000 0.0000 0.5000
```